No. 1
A plane-wave DFT calculation with PBE was carried out for a geometry-optimized PrSm4Au5 structure.

Cell lengths 3.666, 3.666, 18.680 Å; angles 90.00, 90.00, 90.00 degrees
Space group P4/mmm (No. 123)
Symmetry-distinct sites (fractional):
Pr  0.000  0.000  0.000 [1 per cell]
Sm  0.000  0.000  0.202 [2 per cell]
Sm  0.000  0.000  0.401 [2 per cell]
Au  0.500  0.500  0.106 [2 per cell]
Au  0.500  0.500  0.302 [2 per cell]
Au  0.500  0.500  0.500 [1 per cell]

Theoretical density = 11426 kg/m3
N(E_F) = 0.57 states/eV per atom
Energy relative to the elements = -76 kJ per mole of atoms
Energy = -47.933 eV for the cell shown

=====

No. 2
A plane-wave DFT calculation with PBE was carried out for a geometry-optimized TcSN2Cl structure.

Cell lengths 3.831, 3.831, 4.499 Å; angles 90.00, 90.00, 90.00 degrees
Space group P4/mmm (No. 123)
Symmetry-distinct sites (fractional):
Tc  0.000  0.000  0.000 [1 per cell]
S  0.500  0.500  0.000 [1 per cell]
N  0.000  0.500  0.500 [2 per cell]
Cl  0.500  0.500  0.500 [1 per cell]

Theoretical density = 4866 kg/m3
N(E_F) = 0.67 states/eV per atom
Raw formation energy = 12.00 eV per formula unit
Distance to the lowest polymorph of the same formula = 1681 meV/atom
Energy = -20.995 eV for the cell shown

=====

No. 3
A plane-wave DFT calculation with PBE was carried out for a geometry-optimized Ba3CdPd3 structure.

Cell lengths 4.716, 11.674, 15.156 Å; angles 90.00, 90.00, 90.00 degrees
Space group Cmcm (No. 63)
Symmetry-distinct sites (fractional):
Ba  0.000  0.008  0.250 [4 per cell]
Ba  0.000  0.287  0.105 [8 per cell]
Cd  0.000  0.000  0.000 [4 per cell]
Pd  0.000  0.299  0.750 [4 per cell]
Pd  0.000  0.425  0.586 [8 per cell]

Theoretical density = 6716 kg/m3
N(E_F) = 0.55 states/eV per atom
Distance to the lowest polymorph of the same formula = 0 meV/atom
Energy relative to the elements = -50 kJ per mole of atoms
Energy = -103.540 eV for the cell shown